16
Lattice="5.8296 0.0000 0.0000 0.0000 5.8296 0.0000 0.0000 0.0000 8.7286" Properties=species:S:1:pos:R:3 comment="VPb2O5, optimized geometry, DFT PBE+U" space_group="I4mm, No. 107" dft_energy_ev_per_cell=-100.25 pbc="T T T"
V 0.0000 0.0000 0.0000
V 2.9148 2.9148 4.3643
Pb 0.0000 2.9148 1.6117
Pb 0.0000 2.9148 5.9760
Pb 2.9148 0.0000 1.6117
Pb 2.9148 0.0000 5.9760
O 0.0000 0.0000 7.0443
O 1.2710 1.2710 0.5605
O 1.2710 4.5586 0.5605
O 1.6438 1.6438 4.9248
O 1.6438 4.1859 4.9248
O 2.9148 2.9148 2.6800
O 4.1859 1.6438 4.9248
O 4.1859 4.1859 4.9248
O 4.5586 1.2710 0.5605
O 4.5586 4.5586 0.5605